First-principles (GGA-PBE) data for a relaxed structure of Pr5Dy4Y2, as listed in Alexandria.

Unit cell a=9.285 b=9.285 c=11.907 alpha=101.51 beta=101.51 gamma=22.45
Fractional coordinates of all 11 atoms:
Pr (0.000, 0.000, 0.000)
Pr (0.334, 0.334, 0.998)
Pr (0.350, 0.350, 0.490)
Pr (0.650, 0.650, 0.510)
Pr (0.666, 0.666, 0.002)
Dy (0.189, 0.189, 0.762)
Dy (0.481, 0.481, 0.274)
Dy (0.519, 0.519, 0.726)
Dy (0.811, 0.811, 0.238)
Y (0.148, 0.148, 0.254)
Y (0.852, 0.852, 0.746)

Crystal system   monoclinic
Symmetry   C2/m (12)
Total moment   0.00 μB/cell
Formation energy   129.7 meV per atom